The following is a DFT calculation (PBE) of crystalline Hf8AlRh2 at its relaxed geometry.

Cell lengths 7.535, 7.535, 4.798 Å; angles 99.41, 99.41, 117.18 degrees
Positions (direct):
Hf1 0.088 0.316 0.589
Hf2 0.229 0.771 0.000
Hf3 0.316 0.088 0.589
Hf4 0.387 0.387 0.187
Hf5 0.613 0.613 0.813
Hf6 0.684 0.912 0.411
Hf7 0.771 0.229 0.000
Hf8 0.912 0.684 0.411
Al1 0.000 0.000 0.000
Rh1 0.309 0.691 0.500
Rh2 0.691 0.309 0.500

Output
Formation energy from the elements, eV per atom: -0.214
Total DFT energy (no corrections), eV for the cell shown: -100.429
Total magnetic moment, μB/f.u.: 0.00